A relaxed Zn2Hg2Au crystal, computed with PBE.

Structure (POSCAR):
```
Zn2Hg2Au
1.0
-0.474 -2.306 -2.863
1.959 -2.601 1.770
-5.402 -4.996 2.519
Zn Au Hg
2 1 2
Direct
0.750 0.250 0.500
0.250 0.750 0.500
0.000 0.000 0.000
0.398 0.398 0.204
0.602 0.602 0.796
```

## Properties
Energy above the lowest structure with this stoichiometry (meV per atom): 103
Magnetic moment (Bohr magnetons per cell): 0.0
SG: No. 139
DFT formation energy (eV per atom): 0.1558
Total DFT energy (no corrections) (eV per atom): -1.130